Record 1
Here is a relaxed SiNO2 crystal from the Alexandria database. Energies are from PBE.

Formation energy without anion corrections ... 0.920 eV/atom
Calculated total energy ... -5.00 eV per atom

Lattice parameters (Å, degrees): 2.7234 2.7234 17.0700 90.00 90.00 120.00
Closest atoms and distances in Å follow each position.
Space group R-3m (No. 166, hexagonal axes)
Unique sites:
Si  0.0000  0.0000  0.0000 x3  2 O 1.76
N  0.0000  0.0000  0.5000 x3  6 O 1.91
O  0.0000  0.0000  0.1033 x6  1 Si 1.76, 3 N 1.91


Record 2
Here is a relaxed GaBSN2 crystal from the Alexandria database. Energies are from PBE.

Formation energy without anion corrections ... 0.851 eV/atom
Calculated total energy ... -5.25 eV per atom

Lattice parameters (Å, degrees): 3.2084 3.2084 6.3782 90.00 90.00 90.00
Closest atoms and distances in Å follow each position.
Space group P4/mmm (No. 123)
Unique sites:
Ga  0.0000  0.0000  0.0000 x1  4 S 2.27
B  0.5000  0.5000  0.5000 x1  4 N 1.60
S  0.5000  0.5000  0.0000 x1  4 Ga 2.27
N  0.0000  0.5000  0.5000 x2  2 B 1.60


Record 3
Here is a relaxed Zr2PbW crystal from the Alexandria database. Energies are from PBE.

Calculated total energy ... -8.07 eV per atom

Lattice parameters (Å, degrees): 3.4520 5.1888 9.7508 90.00 90.00 90.00
Closest atoms and distances in Å follow each position.
Space group Cmm2 (No. 35)
Unique sites:
Zr  0.0000  0.0000  0.0000 x2  2 W 2.76
Zr  0.0000  0.5000  0.2713 x2  8 Zr 3.12-3.45, 2 Pb 3.12
Pb  0.0000  0.0000  0.5376 x2  2 W 2.92, 4 Pb 3.12, 2 Zr 3.12
W  0.0000  0.5000  0.7798 x2  2 Zr 2.76, 2 Pb 2.92